{
  "formula": "MgBeSiPt",
  "functional": "GGA-PBE",
  "state": "relaxed",
  "e_tot_ev_per_atom": -4.43,
  "cell": [[0.0000, 3.0021, 3.0021], [3.0021, 0.0000, 3.0021], [3.0021, 3.0021, 0.0000]],
  "species": ["Si", "Pt", "Be", "Mg"],
  "frac_coords": [[0.0000, 0.0000, 0.0000], [0.2500, 0.2500, 0.2500], [0.5000, 0.5000, 0.5000], [0.7500, 0.7500, 0.7500]]
}